No. 1
Y3Er2Lu2Fe2Te2 after structural relaxation, computed with PBE. Values from VASP.

```
&SYSTEM
  ibrav = 0, nat = 11, ntyp = 5
/
ATOMIC_SPECIES
Y 88.91 Y.upf
Er 167.26 Er.upf
Lu 174.97 Lu.upf
Fe 55.84 Fe.upf
Te 127.60 Te.upf
CELL_PARAMETERS angstrom
-1.939 7.804 4.611
1.939 -7.804 4.611
1.939 7.804 -4.611
ATOMIC_POSITIONS angstrom
Y 0.000 0.000 0.000
Y 0.000 5.443 2.399
Y 0.000 10.166 2.399
Er 1.939 5.663 -0.796
Er 0.000 2.142 3.814
Lu 1.939 2.911 1.140
Lu 0.000 4.893 5.750
Fe 1.939 -4.096 4.004
Fe 1.939 4.096 4.004
Te 1.939 0.000 2.444
Te 0.000 0.000 6.095
```

Calculated values
- raw total energy (eV per atom) = -6.006
- crystal system = orthorhombic



No. 2
ErMgFe after structural relaxation, computed with PBE. Values from VASP.

```
&SYSTEM
  ibrav = 0, nat = 3, ntyp = 3
/
ATOMIC_SPECIES
Er 167.26 Er.upf
Mg 24.30 Mg.upf
Fe 55.84 Fe.upf
CELL_PARAMETERS angstrom
0.000 3.232 3.232
3.232 0.000 3.232
3.232 3.232 0.000
ATOMIC_POSITIONS angstrom
Er 0.000 0.000 0.000
Mg 3.232 3.232 3.232
Fe 1.616 1.616 1.616
```

Calculated values
- raw total energy (eV per atom) = -4.406
- crystal system = cubic



No. 3
Er2Mg3Fe2 after structural relaxation, computed with PBE. Values from VASP.

```
&SYSTEM
  ibrav = 0, nat = 7, ntyp = 3
/
ATOMIC_SPECIES
Er 167.26 Er.upf
Mg 24.30 Mg.upf
Fe 55.84 Fe.upf
CELL_PARAMETERS angstrom
1.960 -10.507 0.000
1.960 10.507 0.000
0.000 0.000 3.653
ATOMIC_POSITIONS angstrom
Er 1.960 6.844 0.000
Er 1.960 -6.844 0.000
Mg 0.000 0.000 0.000
Mg 1.960 1.681 1.826
Mg 1.960 -1.681 1.826
Fe 1.960 4.605 1.826
Fe 1.960 -4.605 1.826
```

Calculated values
- raw total energy (eV per atom) = -4.381
- crystal system = orthorhombic



No. 4
ErMgFe after structural relaxation, computed with PBE. Values from VASP.

```
&SYSTEM
  ibrav = 0, nat = 3, ntyp = 3
/
ATOMIC_SPECIES
Er 167.26 Er.upf
Mg 24.30 Mg.upf
Fe 55.84 Fe.upf
CELL_PARAMETERS angstrom
0.000 3.273 3.273
3.273 0.000 3.273
3.273 3.273 0.000
ATOMIC_POSITIONS angstrom
Er 0.000 0.000 0.000
Mg 1.636 1.636 1.636
Fe 4.910 4.910 4.910
```

Calculated values
- raw total energy (eV per atom) = -3.805
- crystal system = cubic



No. 5
ErFeMo after structural relaxation, computed with PBE. Values from VASP.

```
&SYSTEM
  ibrav = 0, nat = 3, ntyp = 3
/
ATOMIC_SPECIES
Er 167.26 Er.upf
Fe 55.84 Fe.upf
Mo 95.94 Mo.upf
CELL_PARAMETERS angstrom
0.000 3.046 3.046
3.046 0.000 3.046
3.046 3.046 0.000
ATOMIC_POSITIONS angstrom
Er 0.000 0.000 0.000
Fe 1.523 1.523 1.523
Mo 3.046 3.046 3.046
```

Calculated values
- E_form (meV per atom) = 488
- raw total energy (eV per atom) = -7.419
- crystal system = cubic



No. 6
ErFeMo after structural relaxation, computed with PBE. Values from VASP.

```
&SYSTEM
  ibrav = 0, nat = 3, ntyp = 3
/
ATOMIC_SPECIES
Er 167.26 Er.upf
Fe 55.84 Fe.upf
Mo 95.94 Mo.upf
CELL_PARAMETERS angstrom
0.000 3.165 3.165
3.165 0.000 3.165
3.165 3.165 0.000
ATOMIC_POSITIONS angstrom
Er 0.000 0.000 0.000
Fe 4.747 4.747 4.747
Mo 1.582 1.582 1.582
```

Calculated values
- E_form (meV per atom) = 1567
- raw total energy (eV per atom) = -6.340
- crystal system = cubic



No. 7
NaErFe after structural relaxation, computed with PBE. Values from VASP.

```
&SYSTEM
  ibrav = 0, nat = 3, ntyp = 3
/
ATOMIC_SPECIES
Na 22.99 Na.upf
Er 167.26 Er.upf
Fe 55.84 Fe.upf
CELL_PARAMETERS angstrom
0.000 3.350 3.350
3.350 0.000 3.350
3.350 3.350 0.000
ATOMIC_POSITIONS angstrom
Na 0.000 0.000 0.000
Er 3.350 3.350 3.350
Fe 5.024 5.024 5.024
```

Calculated values
- raw total energy (eV per atom) = -3.897
- crystal system = cubic



No. 8
NaErFeSe3 after structural relaxation, computed with PBE. Values from VASP.

```
&SYSTEM
  ibrav = 0, nat = 12, ntyp = 4
/
ATOMIC_SPECIES
Na 22.99 Na.upf
Er 167.26 Er.upf
Fe 55.84 Fe.upf
Se 78.96 Se.upf
CELL_PARAMETERS angstrom
2.011 -6.766 0.000
2.011 6.766 0.000
0.000 0.000 10.686
ATOMIC_POSITIONS angstrom
Na 2.011 3.484 8.015
Na 2.011 -3.484 2.672
Er 0.000 0.000 0.000
Er 0.000 0.000 5.343
Fe 2.011 0.381 2.672
Fe 2.011 -0.381 8.015
Se 2.011 5.681 2.672
Se 2.011 1.841 0.752
Se 2.011 1.841 4.591
Se 2.011 -1.841 6.095
Se 2.011 -1.841 9.934
Se 2.011 -5.681 8.015
```

Calculated values
- raw total energy (eV per atom) = -5.224
- crystal system = orthorhombic



No. 9
NaErFeSe3 after structural relaxation, computed with PBE. Values from VASP.

```
&SYSTEM
  ibrav = 0, nat = 12, ntyp = 4
/
ATOMIC_SPECIES
Na 22.99 Na.upf
Er 167.26 Er.upf
Fe 55.84 Fe.upf
Se 78.96 Se.upf
CELL_PARAMETERS angstrom
8.173 0.000 0.000
0.000 3.970 0.000
-2.424 0.000 9.319
ATOMIC_POSITIONS angstrom
Na 1.179 0.992 2.427
Na 4.570 2.977 6.892
Er 0.585 2.977 7.948
Er 5.163 0.992 1.371
Fe -0.846 0.992 5.455
Fe 6.595 2.977 3.865
Se -1.433 0.992 7.806
Se 0.622 2.977 5.002
Se 3.159 2.977 1.441
Se 2.590 0.992 7.878
Se 5.127 0.992 4.317
Se 7.182 2.977 1.514
```

Calculated values
- raw total energy (eV per atom) = -5.254
- crystal system = monoclinic



No. 10
NaErFeTe3 after structural relaxation, computed with PBE. Values from VASP.

```
&SYSTEM
  ibrav = 0, nat = 12, ntyp = 4
/
ATOMIC_SPECIES
Na 22.99 Na.upf
Er 167.26 Er.upf
Fe 55.84 Fe.upf
Te 127.60 Te.upf
CELL_PARAMETERS angstrom
2.105 -7.390 0.000
2.105 7.390 0.000
0.000 0.000 11.246
ATOMIC_POSITIONS angstrom
Na 2.105 3.830 8.434
Na 2.105 -3.830 2.811
Er 0.000 0.000 0.000
Er 0.000 0.000 5.623
Fe 2.105 0.452 2.811
Fe 2.105 -0.452 8.434
Te 2.105 6.183 2.811
Te 2.105 2.057 0.753
Te 2.105 2.057 4.870
Te 2.105 -2.057 6.376
Te 2.105 -2.057 10.492
Te 2.105 -6.183 8.434
```

Calculated values
- raw total energy (eV per atom) = -4.703
- crystal system = orthorhombic



No. 11
NaErFeTe3 after structural relaxation, computed with PBE. Values from VASP.

```
&SYSTEM
  ibrav = 0, nat = 24, ntyp = 4
/
ATOMIC_SPECIES
Na 22.99 Na.upf
Er 167.26 Er.upf
Fe 55.84 Fe.upf
Te 127.60 Te.upf
CELL_PARAMETERS angstrom
11.365 0.000 0.000
0.000 4.263 0.000
0.000 0.000 14.480
ATOMIC_POSITIONS angstrom
Na 2.583 1.066 0.148
Na 3.100 3.197 7.388
Na 8.265 1.066 7.092
Na 8.783 3.197 14.331
Er 0.165 3.197 10.790
Er 5.517 1.066 3.550
Er 5.848 3.197 10.929
Er 11.200 1.066 3.690
Fe 2.712 3.197 3.188
Fe 2.970 1.066 10.428
Fe 8.395 3.197 4.052
Fe 8.653 1.066 11.292
Te 0.590 3.197 1.649
Te 0.941 1.066 8.778
Te 2.703 1.066 4.810
Te 2.979 3.197 12.050
Te 4.741 3.197 1.539
Te 5.093 1.066 8.889
Te 6.272 3.197 5.591
Te 6.624 1.066 12.941
Te 8.386 1.066 2.430
Te 8.662 3.197 9.670
Te 10.424 3.197 5.701
Te 10.775 1.066 12.831
```

Calculated values
- raw total energy (eV per atom) = -4.702
- crystal system = orthorhombic



No. 12
NaErFeTe3 after structural relaxation, computed with PBE. Values from VASP.

```
&SYSTEM
  ibrav = 0, nat = 12, ntyp = 4
/
ATOMIC_SPECIES
Na 22.99 Na.upf
Er 167.26 Er.upf
Fe 55.84 Fe.upf
Te 127.60 Te.upf
CELL_PARAMETERS angstrom
8.812 0.000 0.000
0.000 4.188 0.000
-2.601 0.000 9.701
ATOMIC_POSITIONS angstrom
Na 1.165 1.047 2.478
Na 5.047 3.141 7.223
Er 0.680 3.141 8.240
Er 5.532 1.047 1.461
Fe -0.925 1.047 5.604
Fe 7.137 3.141 4.097
Te -1.512 1.047 8.186
Te 0.732 3.141 5.147
Te 3.352 3.141 1.576
Te 2.859 1.047 8.126
Te 5.479 1.047 4.555
Te 7.723 3.141 1.515
```

Calculated values
- raw total energy (eV per atom) = -4.738
- crystal system = monoclinic



No. 13
NdErFe2Si2 after structural relaxation, computed with PBE. Values from VASP.

```
&SYSTEM
  ibrav = 0, nat = 6, ntyp = 4
/
ATOMIC_SPECIES
Nd 144.24 Nd.upf
Er 167.26 Er.upf
Fe 55.84 Fe.upf
Si 28.09 Si.upf
CELL_PARAMETERS angstrom
4.036 0.000 0.000
0.000 4.036 0.000
0.000 0.000 6.626
ATOMIC_POSITIONS angstrom
Nd 0.000 0.000 0.000
Er 2.018 2.018 2.423
Fe 0.000 2.018 4.400
Fe 2.018 0.000 4.400
Si 0.000 0.000 3.268
Si 2.018 2.018 5.562
```

Calculated values
- raw total energy (eV per atom) = -6.738
- crystal system = tetragonal



No. 14
ErFe2Ni after structural relaxation, computed with PBE. Values from VASP.

```
&SYSTEM
  ibrav = 0, nat = 12, ntyp = 3
/
ATOMIC_SPECIES
Er 167.26 Er.upf
Fe 55.84 Fe.upf
Ni 58.69 Ni.upf
CELL_PARAMETERS angstrom
2.482 1.433 8.226
-2.482 1.433 8.226
0.000 -2.866 8.226
ATOMIC_POSITIONS angstrom
Er 0.000 0.000 0.000
Er 0.000 0.000 3.498
Er 0.000 0.000 21.180
Fe -1.249 -0.721 10.250
Fe 0.000 -1.442 14.428
Fe -1.249 0.721 14.428
Fe 1.249 -0.721 10.250
Fe 0.000 1.442 10.250
Fe 1.249 0.721 14.428
Ni 0.000 0.000 8.223
Ni 0.000 0.000 12.339
Ni 0.000 0.000 16.454
```

Calculated values
- E_form (meV per atom) = -179
- raw total energy (eV per atom) = -6.866
- crystal system = trigonal



No. 15
Er3Fe8Ni after structural relaxation, computed with PBE. Values from VASP.

```
&SYSTEM
  ibrav = 0, nat = 12, ntyp = 3
/
ATOMIC_SPECIES
Er 167.26 Er.upf
Fe 55.84 Fe.upf
Ni 58.69 Ni.upf
CELL_PARAMETERS angstrom
2.516 1.453 8.088
-2.516 1.453 8.088
0.000 -2.905 8.088
ATOMIC_POSITIONS angstrom
Er 0.000 0.000 0.000
Er 0.000 0.000 3.443
Er 0.000 0.000 20.820
Fe -1.266 -0.731 10.067
Fe 0.000 0.000 8.079
Fe 0.000 -1.461 14.196
Fe -1.266 0.731 14.196
Fe 1.266 -0.731 10.067
Fe 0.000 1.461 10.067
Fe 0.000 0.000 16.184
Fe 1.266 0.731 14.196
Ni 0.000 0.000 12.132
```

Calculated values
- E_form (meV per atom) = -135
- raw total energy (eV per atom) = -7.279
- crystal system = trigonal



No. 16
Er3Fe2Ni7 after structural relaxation, computed with PBE. Values from VASP.

```
&SYSTEM
  ibrav = 0, nat = 12, ntyp = 3
/
ATOMIC_SPECIES
Er 167.26 Er.upf
Fe 55.84 Fe.upf
Ni 58.69 Ni.upf
CELL_PARAMETERS angstrom
2.487 1.436 8.039
-2.487 1.436 8.039
0.000 -2.872 8.039
ATOMIC_POSITIONS angstrom
Er 0.000 0.000 0.000
Er 0.000 0.000 3.345
Er 0.000 0.000 20.771
Fe 0.000 0.000 8.026
Fe 0.000 0.000 16.090
Ni -1.244 -0.718 10.007
Ni 0.000 -1.437 14.109
Ni -1.244 0.718 14.109
Ni 0.000 0.000 12.058
Ni 1.244 -0.718 10.007
Ni 0.000 1.437 10.007
Ni 1.244 0.718 14.109
```

Calculated values
- E_form (meV per atom) = -372
- raw total energy (eV per atom) = -6.145
- crystal system = trigonal



No. 17
Er3Fe7Ni2 after structural relaxation, computed with PBE. Values from VASP.

```
&SYSTEM
  ibrav = 0, nat = 12, ntyp = 3
/
ATOMIC_SPECIES
Er 167.26 Er.upf
Fe 55.84 Fe.upf
Ni 58.69 Ni.upf
CELL_PARAMETERS angstrom
2.489 1.437 8.183
-2.489 1.437 8.183
0.000 -2.874 8.183
ATOMIC_POSITIONS angstrom
Er 0.000 0.000 0.000
Er 0.000 0.000 3.482
Er 0.000 0.000 21.067
Fe -1.244 -0.718 10.204
Fe 0.000 -1.436 14.345
Fe -1.244 0.718 14.345
Fe 0.000 0.000 12.274
Fe 1.244 -0.718 10.204
Fe 0.000 1.436 10.204
Fe 1.244 0.718 14.345
Ni 0.000 0.000 8.168
Ni 0.000 0.000 16.380
```

Calculated values
- E_form (meV per atom) = -158
- raw total energy (eV per atom) = -7.073
- crystal system = trigonal



No. 18
Y2ErFeNi8 after structural relaxation, computed with PBE. Values from VASP.

```
&SYSTEM
  ibrav = 0, nat = 12, ntyp = 4
/
ATOMIC_SPECIES
Y 88.91 Y.upf
Er 167.26 Er.upf
Fe 55.84 Fe.upf
Ni 58.69 Ni.upf
CELL_PARAMETERS angstrom
2.491 1.438 8.026
-2.491 1.438 8.026
0.000 -2.876 8.026
ATOMIC_POSITIONS angstrom
Y 0.000 0.000 3.336
Y 0.000 0.000 20.741
Er 0.000 0.000 0.000
Fe 0.000 0.000 12.038
Ni -1.249 -0.721 10.015
Ni 0.000 0.000 8.025
Ni 0.000 -1.443 14.062
Ni -1.249 0.721 14.062
Ni 1.249 -0.721 10.015
Ni 0.000 1.443 10.015
Ni 0.000 0.000 16.052
Ni 1.249 0.721 14.062
```

Calculated values
- E_form (meV per atom) = -341
- raw total energy (eV per atom) = -6.203
- crystal system = trigonal



No. 19
Y2ErFe7Ni2 after structural relaxation, computed with PBE. Values from VASP.

```
&SYSTEM
  ibrav = 0, nat = 12, ntyp = 4
/
ATOMIC_SPECIES
Y 88.91 Y.upf
Er 167.26 Er.upf
Fe 55.84 Fe.upf
Ni 58.69 Ni.upf
CELL_PARAMETERS angstrom
2.504 1.446 8.210
-2.504 1.446 8.210
0.000 -2.891 8.210
ATOMIC_POSITIONS angstrom
Y 0.000 0.000 3.485
Y 0.000 0.000 21.145
Er 0.000 0.000 0.000
Fe -1.248 -0.721 10.223
Fe 0.000 -1.442 14.406
Fe -1.248 0.721 14.406
Fe 0.000 0.000 12.315
Fe 1.248 -0.721 10.223
Fe 0.000 1.442 10.223
Fe 1.248 0.721 14.406
Ni 0.000 0.000 8.189
Ni 0.000 0.000 16.441
```

Calculated values
- E_form (meV per atom) = -127
- raw total energy (eV per atom) = -7.359
- crystal system = trigonal



No. 20
YEr2Fe3Ni6 after structural relaxation, computed with PBE. Values from VASP.

```
&SYSTEM
  ibrav = 0, nat = 12, ntyp = 4
/
ATOMIC_SPECIES
Y 88.91 Y.upf
Er 167.26 Er.upf
Fe 55.84 Fe.upf
Ni 58.69 Ni.upf
CELL_PARAMETERS angstrom
2.511 1.450 7.971
-2.511 1.450 7.971
0.000 -2.900 7.971
ATOMIC_POSITIONS angstrom
Y 0.000 0.000 0.000
Er 0.000 0.000 3.325
Er 0.000 0.000 20.587
Fe 0.000 0.000 7.972
Fe 0.000 0.000 11.956
Fe 0.000 0.000 15.940
Ni -1.261 -0.728 9.961
Ni 0.000 -1.456 13.952
Ni -1.261 0.728 13.952
Ni 1.261 -0.728 9.961
Ni 0.000 1.456 9.961
Ni 1.261 0.728 13.952
```

Calculated values
- E_form (meV per atom) = -304
- raw total energy (eV per atom) = -6.464
- crystal system = trigonal



No. 21
Y2ErFe8Ni after structural relaxation, computed with PBE. Values from VASP.

```
&SYSTEM
  ibrav = 0, nat = 12, ntyp = 4
/
ATOMIC_SPECIES
Y 88.91 Y.upf
Er 167.26 Er.upf
Fe 55.84 Fe.upf
Ni 58.69 Ni.upf
CELL_PARAMETERS angstrom
2.528 1.460 8.133
-2.528 1.460 8.133
0.000 -2.919 8.133
ATOMIC_POSITIONS angstrom
Y 0.000 0.000 3.454
Y 0.000 0.000 20.944
Er 0.000 0.000 0.000
Fe -1.267 -0.732 10.101
Fe 0.000 0.000 8.127
Fe 0.000 -1.464 14.296
Fe -1.267 0.732 14.296
Fe 1.267 -0.732 10.101
Fe 0.000 1.464 10.101
Fe 0.000 0.000 16.271
Fe 1.267 0.732 14.296
Ni 0.000 0.000 12.199
```

Calculated values
- E_form (meV per atom) = -108
- raw total energy (eV per atom) = -7.569
- crystal system = trigonal



No. 22
YEr2Fe8Ni after structural relaxation, computed with PBE. Values from VASP.

```
&SYSTEM
  ibrav = 0, nat = 12, ntyp = 4
/
ATOMIC_SPECIES
Y 88.91 Y.upf
Er 167.26 Er.upf
Fe 55.84 Fe.upf
Ni 58.69 Ni.upf
CELL_PARAMETERS angstrom
2.524 1.457 8.075
-2.524 1.457 8.075
0.000 -2.914 8.075
ATOMIC_POSITIONS angstrom
Y 0.000 0.000 0.000
Er 0.000 0.000 3.438
Er 0.000 0.000 20.786
Fe -1.266 -0.731 10.055
Fe 0.000 0.000 8.064
Fe 0.000 -1.462 14.169
Fe -1.266 0.731 14.169
Fe 1.266 -0.731 10.055
Fe 0.000 1.462 10.055
Fe 0.000 0.000 16.161
Fe 1.266 0.731 14.169
Ni 0.000 0.000 12.112
```

Calculated values
- E_form (meV per atom) = -126
- raw total energy (eV per atom) = -7.428
- crystal system = trigonal



No. 23
ErNpFe after structural relaxation, computed with PBE. Values from VASP.

```
&SYSTEM
  ibrav = 0, nat = 3, ntyp = 3
/
ATOMIC_SPECIES
Er 167.26 Er.upf
Np 237.00 Np.upf
Fe 55.84 Fe.upf
CELL_PARAMETERS angstrom
0.000 3.229 3.229
3.229 0.000 3.229
3.229 3.229 0.000
ATOMIC_POSITIONS angstrom
Er 0.000 0.000 0.000
Np 3.229 3.229 3.229
Fe 1.615 1.615 1.615
```

Calculated values
- E_form (meV per atom) = 400
- raw total energy (eV per atom) = -8.147
- crystal system = cubic